# 1
! SCAN SrCuSeF, single point on PBEsol structure; values from VASP
&SYSTEM
  ibrav = 0, nat = 8, ntyp = 4
/
ATOMIC_SPECIES
Sr 87.62 Sr.upf
Cu 63.55 Cu.upf
Se 78.96 Se.upf
F 19.00 F.upf
ATOMIC_POSITIONS crystal
Sr 0.2500 0.2500 0.1632
Sr 0.7500 0.7500 0.8368
Cu 0.2500 0.7500 0.5000
Cu 0.7500 0.2500 0.5000
Se 0.2500 0.2500 0.6687
Se 0.7500 0.7500 0.3313
F 0.2500 0.7500 0.0000
F 0.7500 0.2500 0.0000
CELL_PARAMETERS angstrom
4.0133 0.0000 0.0000
0.0000 4.0133 0.0000
0.0000 0.0000 8.7035
! density of states at the Fermi level	0.00	states/eV/cell
! ρ	5.9	g/cm³
! energy relative to the elements, uncorrected	-2.215	eV/atom

=====

# 2
! SCAN Cu2Si2F, single point on PBEsol structure; values from VASP
&SYSTEM
  ibrav = 0, nat = 5, ntyp = 3
/
ATOMIC_SPECIES
Cu 63.55 Cu.upf
Si 28.09 Si.upf
F 19.00 F.upf
ATOMIC_POSITIONS crystal
Cu 0.0000 0.0000 0.0000
Cu 0.5000 0.5000 0.0000
Si 0.0000 0.5000 0.5000
Si 0.5000 0.0000 0.5000
F 0.0000 0.0000 0.5000
CELL_PARAMETERS angstrom
4.2374 0.0000 0.0000
0.0000 4.2374 0.0000
0.0000 0.0000 3.9606
! density of states at the Fermi level	2.04	states/eV/cell
! ρ	4.7	g/cm³
! energy relative to the elements, uncorrected	0.581	eV/atom

=====

# 3
! SCAN SrCuF4, single point on PBEsol structure; values from VASP
&SYSTEM
  ibrav = 0, nat = 12, ntyp = 3
/
ATOMIC_SPECIES
Sr 87.62 Sr.upf
Cu 63.55 Cu.upf
F 19.00 F.upf
ATOMIC_POSITIONS crystal
Sr 0.2500 0.2500 0.0000
Sr 0.7500 0.7500 0.0000
Cu 0.0000 0.5000 0.5000
Cu 0.5000 0.0000 0.5000
F 0.0452 0.5452 0.8401
F 0.2051 0.0452 0.5000
F 0.2949 0.7949 0.8401
F 0.4548 0.2949 0.5000
F 0.5452 0.7051 0.5000
F 0.7051 0.2051 0.1599
F 0.7949 0.9548 0.5000
F 0.9548 0.4548 0.1599
CELL_PARAMETERS angstrom
-2.8244 2.8244 5.2556
2.8244 -2.8244 5.2556
2.8244 2.8244 -5.2556
! density of states at the Fermi level	0.00	states/eV/cell
! ρ	4.5	g/cm³
! energy relative to the elements, uncorrected	-3.031	eV/atom

=====

# 4
! SCAN SrCuTeF, single point on PBEsol structure; values from VASP
&SYSTEM
  ibrav = 0, nat = 8, ntyp = 4
/
ATOMIC_SPECIES
Sr 87.62 Sr.upf
Cu 63.55 Cu.upf
Te 127.60 Te.upf
F 19.00 F.upf
ATOMIC_POSITIONS crystal
Sr 0.2500 0.2500 0.1485
Sr 0.7500 0.7500 0.8515
Cu 0.2500 0.7500 0.5000
Cu 0.7500 0.2500 0.5000
Te 0.2500 0.2500 0.6748
Te 0.7500 0.7500 0.3252
F 0.2500 0.7500 0.0000
F 0.7500 0.2500 0.0000
CELL_PARAMETERS angstrom
4.1961 0.0000 0.0000
0.0000 4.1961 0.0000
0.0000 0.0000 9.0342
! density of states at the Fermi level	0.00	states/eV/cell
! ρ	6.2	g/cm³
! energy relative to the elements, uncorrected	-2.071	eV/atom

=====

# 5
! SCAN Cu2TcF, single point on PBEsol structure; values from VASP
&SYSTEM
  ibrav = 0, nat = 16, ntyp = 3
/
ATOMIC_SPECIES
Cu 63.55 Cu.upf
Tc 98.00 Tc.upf
F 19.00 F.upf
ATOMIC_POSITIONS crystal
Cu 0.2500 0.2500 0.2500
Cu 0.2500 0.2500 0.7500
Cu 0.2500 0.7500 0.2500
Cu 0.2500 0.7500 0.7500
Cu 0.7500 0.2500 0.2500
Cu 0.7500 0.2500 0.7500
Cu 0.7500 0.7500 0.2500
Cu 0.7500 0.7500 0.7500
Tc 0.0000 0.0000 0.0000
Tc 0.0000 0.5000 0.5000
Tc 0.5000 0.0000 0.5000
Tc 0.5000 0.5000 0.0000
F 0.0000 0.0000 0.5000
F 0.0000 0.5000 0.0000
F 0.5000 0.0000 0.0000
F 0.5000 0.5000 0.5000
CELL_PARAMETERS angstrom
5.8747 0.0000 0.0000
0.0000 5.8747 0.0000
0.0000 0.0000 5.8747
! density of states at the Fermi level	6.44	states/eV/cell
! ρ	8.0	g/cm³
! energy relative to the elements, uncorrected	0.443	eV/atom

=====

# 6
! SCAN TiCu3F, single point on PBEsol structure; values from VASP
&SYSTEM
  ibrav = 0, nat = 5, ntyp = 3
/
ATOMIC_SPECIES
Ti 47.87 Ti.upf
Cu 63.55 Cu.upf
F 19.00 F.upf
ATOMIC_POSITIONS crystal
Ti 0.0000 0.0000 0.0000
Cu 0.0000 0.0000 0.5000
Cu 0.0000 0.5000 0.0000
Cu 0.5000 0.0000 0.0000
F 0.5000 0.5000 0.5000
CELL_PARAMETERS angstrom
4.5930 0.0000 0.0000
0.0000 4.5930 0.0000
0.0000 0.0000 4.5930
! density of states at the Fermi level	3.13	states/eV/cell
! ρ	4.4	g/cm³
! energy relative to the elements, uncorrected	1.229	eV/atom